# 1
! Ac6Nd2Sm3 (PBE-GGA, relaxed); values from VASP
! Space group   C2/m, No. 12
! Calculated formation energy   0.179 eV per atom
! Total DFT energy (no corrections)   -46.4 eV/f.u.
&SYSTEM
  ibrav = 0, nat = 11, ntyp = 3
/
ATOMIC_SPECIES
Sm 150.36 Sm.upf
Ac 227.00 Ac.upf
Nd 144.24 Nd.upf
ATOMIC_POSITIONS angstrom
Sm 0.000 0.000 0.000
Ac 3.789 0.000 10.419
Ac 7.690 3.848 5.401
Ac 3.795 3.848 10.465
Sm 3.205 1.912 0.941
Nd 2.538 3.815 6.992
Ac 4.485 1.917 4.460
Nd 5.743 1.950 7.933
Sm 6.410 3.852 1.881
Ac 1.286 0.000 3.565
Ac 0.590 1.917 9.524
CELL_PARAMETERS angstrom
6.410 0.000 1.881
3.205 5.765 0.941
-1.335 0.000 12.103


# 2
! ZrTeH (PBE-GGA, relaxed); values from VASP
! Space group   P2_1/c, No. 14
! Total DFT energy (no corrections)   -16.9 eV/f.u.
&SYSTEM
  ibrav = 0, nat = 12, ntyp = 3
/
ATOMIC_SPECIES
Te 127.60 Te.upf
H 1.01 H.upf
Zr 91.22 Zr.upf
ATOMIC_POSITIONS angstrom
Te -2.563 4.311 -3.159
Te -1.705 0.806 -2.581
H -1.941 -2.398 -3.027
Te -4.186 -4.064 -3.275
Te -5.044 -0.559 -3.853
H -3.010 0.010 -5.702
H -4.809 2.645 -3.407
H -3.739 0.237 -0.731
Zr -3.227 -1.593 -1.708
Zr -4.001 2.349 -1.451
Zr -2.749 -2.102 -4.983
Zr -3.522 1.841 -4.726
CELL_PARAMETERS angstrom
-0.549 -2.847 -5.440
-4.301 -2.963 1.985
-1.900 6.057 -2.978


# 3
! SrTmCd (PBE-GGA, relaxed); values from VASP
! Space group   I4mm, No. 107
! Calculated formation energy   -0.111 eV per atom
! Total DFT energy (no corrections)   -7.4 eV/f.u.
&SYSTEM
  ibrav = 0, nat = 3, ntyp = 3
/
ATOMIC_SPECIES
Sr 87.62 Sr.upf
Tm 168.93 Tm.upf
Cd 112.41 Cd.upf
ATOMIC_POSITIONS angstrom
Sr 0.000 0.000 0.217
Tm 0.000 0.000 4.037
Cd 1.922 1.922 2.482
CELL_PARAMETERS angstrom
3.844 0.000 0.000
0.000 3.844 0.000
-1.922 -1.922 6.736


# 4
! Tm3Ru2 (PBE-GGA, relaxed); values from VASP
! Space group   P6_3/m, No. 176
! Calculated formation energy   -0.327 eV per atom
! Total DFT energy (no corrections)   -33.6 eV/f.u.
&SYSTEM
  ibrav = 0, nat = 10, ntyp = 2
/
ATOMIC_SPECIES
Tm 168.93 Tm.upf
Ru 101.07 Ru.upf
ATOMIC_POSITIONS angstrom
Tm 4.607 -4.002 1.165
Tm 4.924 -0.525 1.165
Ru 0.000 0.000 2.329
Tm 1.754 -1.988 1.165
Ru 0.000 0.000 0.000
Tm 2.916 4.002 3.494
Ru 3.762 2.172 1.165
Ru 3.762 -2.172 3.494
Tm 5.769 1.988 3.494
Tm 2.599 0.525 3.494
CELL_PARAMETERS angstrom
3.762 -6.515 0.000
3.762 6.515 0.000
0.000 0.000 4.659


# 5
! Ba2LiSb (PBE-GGA, relaxed); values from VASP
! Uncorrected formation energy   -0.225 eV/atom
! Space group   F-43m, No. 216
! Total DFT energy (no corrections)   -10.8 eV/f.u.
&SYSTEM
  ibrav = 0, nat = 4, ntyp = 3
/
ATOMIC_SPECIES
Ba 137.33 Ba.upf
Li 6.94 Li.upf
Sb 121.76 Sb.upf
ATOMIC_POSITIONS angstrom
Ba 0.000 0.000 0.000
Ba 2.930 1.692 1.196
Li 5.860 3.383 2.392
Sb 8.790 5.075 3.589
CELL_PARAMETERS angstrom
5.860 0.000 0.000
2.930 5.075 0.000
2.930 1.692 4.785


# 6
! P4RuRh (PBE-GGA, relaxed); values from VASP
! Space group   F-43m, No. 216
! Calculated formation energy   0.675 eV per atom
! Total DFT energy (no corrections)   -34.2 eV/f.u.
&SYSTEM
  ibrav = 0, nat = 6, ntyp = 3
/
ATOMIC_SPECIES
Rh 102.91 Rh.upf
P 30.97 P.upf
Ru 101.07 Ru.upf
ATOMIC_POSITIONS angstrom
Rh -6.931 -5.274 -2.246
P -3.464 -2.636 -1.122
Ru 0.000 0.000 0.000
P -5.582 -2.742 -2.352
P -5.320 -3.980 -0.253
P -4.117 -4.706 -2.261
CELL_PARAMETERS angstrom
-1.304 -4.134 -2.275
-3.707 -2.685 1.737
-4.230 -0.213 -2.456


# 7
! Li4Y3InSe8 (PBE-GGA, relaxed); values from VASP
! Uncorrected formation energy   -1.462 eV/atom
! Space group   R-3m, No. 166
! Total DFT energy (no corrections)   -81.1 eV/f.u.
&SYSTEM
  ibrav = 0, nat = 16, ntyp = 4
/
ATOMIC_SPECIES
Y 88.91 Y.upf
Se 78.96 Se.upf
Li 6.94 Li.upf
In 114.82 In.upf
ATOMIC_POSITIONS angstrom
Y 2.021 1.991 2.832
Se 4.042 4.011 2.831
Se 6.100 6.020 -0.009
Li -2.021 -2.019 2.859
Se 2.059 -2.038 5.673
Li 0.000 0.000 0.000
Se 0.000 -0.030 2.834
In 0.000 4.010 -0.026
Y 4.042 4.010 -0.026
Y -2.021 1.991 2.832
Se 1.983 6.020 -0.009
Se 0.000 4.039 2.798
Li 2.021 -2.019 2.859
Li 4.042 0.000 0.000
Se 4.042 -0.057 2.866
Se -2.059 -2.038 5.673
CELL_PARAMETERS angstrom
8.084 0.000 0.000
0.000 8.020 -0.053
-4.042 -4.038 5.717


# 8
! ZrRe2Hg (PBE-GGA, relaxed); values from VASP
! Space group   Pm, No. 6
! Calculated formation energy   0.220 eV per atom
! Total DFT energy (no corrections)   -32.9 eV/f.u.
&SYSTEM
  ibrav = 0, nat = 4, ntyp = 3
/
ATOMIC_SPECIES
Re 186.21 Re.upf
Hg 200.59 Hg.upf
Zr 91.22 Zr.upf
ATOMIC_POSITIONS angstrom
Re 2.013 1.409 1.394
Re 0.000 2.980 0.345
Hg 2.013 4.260 4.686
Zr 0.000 2.838 2.988
CELL_PARAMETERS angstrom
4.027 0.000 0.000
0.000 2.973 0.108
0.000 2.704 6.095


no.,spin magnetization (μB per atom)
1,0.0000
2,0.0000
3,0.0000
4,0.0000
5,0.3473
6,0.0000
7,0.0000
8,0.0000